# 1
IBrF3: relaxed, PBE.

a b c (Å): 4.567 4.567 4.567
angles (deg): 90.00 90.00 90.00
Fractional coordinates of all 5 atoms:
I 0.500 0.500 0.500
Br 0.000 0.000 0.000
F 0.000 0.500 0.000
F 0.000 0.000 0.500
F 0.500 0.000 0.000

SG   No. 221
Excess energy over the best structure of this formula in the dataset   913.9 meV per atom



# 2
I2Br4F: relaxed, PBE.

a b c (Å): 5.007 8.304 21.454
angles (deg): 100.73 113.42 46.38
Fractional coordinates of all 14 atoms:
I 0.983 0.467 0.062
I 0.388 0.162 0.861
I 0.873 0.698 0.428
I 0.534 0.482 0.650
Br 0.383 0.616 0.761
Br 0.411 0.712 0.947
Br 0.105 0.501 0.316
Br 0.659 0.863 0.534
Br 0.482 0.106 0.368
Br 0.814 0.817 0.130
Br 0.340 0.114 0.729
Br 0.632 0.170 0.189
F 0.683 0.362 0.565
F 0.461 0.180 0.960

SG   No. 1



# 3
IBrF3: relaxed, PBE.

a b c (Å): 4.569 4.569 4.569
angles (deg): 90.00 90.00 90.00
Fractional coordinates of all 5 atoms:
I 0.000 0.000 0.000
Br 0.500 0.500 0.500
F 0.000 0.500 0.000
F 0.000 0.000 0.500
F 0.500 0.000 0.000

SG   No. 221
Excess energy over the best structure of this formula in the dataset   552.0 meV per atom



# 4
IBrF: relaxed, PBE.

a b c (Å): 4.911 7.072 7.312
angles (deg): 56.00 76.42 80.05
Fractional coordinates of all 6 atoms:
Br 0.072 0.439 0.666
Br 0.928 0.561 0.334
F 0.295 0.330 0.017
F 0.705 0.670 0.983
I 0.475 0.076 0.282
I 0.525 0.924 0.718

SG   No. 2



# 5
I2BrF: relaxed, PBE.

a b c (Å): 5.248 5.248 5.248
angles (deg): 60.00 60.00 60.00
Fractional coordinates of all 4 atoms:
I 0.250 0.250 0.250
I 0.750 0.750 0.750
Br 0.500 0.500 0.500
F 0.000 0.000 0.000

SG   No. 225
Excess energy over the best structure of this formula in the dataset   234.2 meV per atom



# 6
I2BrF: relaxed, PBE.

a b c (Å): 5.567 5.567 9.644
angles (deg): 73.23 73.23 90.00
Fractional coordinates of all 8 atoms:
I 0.459 0.125 0.250
I 0.291 0.625 0.250
I 0.375 0.541 0.750
I 0.875 0.709 0.750
Br 0.000 0.000 0.000
Br 0.750 0.250 0.500
F 0.500 0.500 0.000
F 0.250 0.750 0.500

SG   No. 122
Excess energy over the best structure of this formula in the dataset   0.0 meV per atom



# 7
IBrF3: relaxed, PBE.

a b c (Å): 5.631 6.196 7.204
angles (deg): 92.86 92.83 85.02
Fractional coordinates of all 10 atoms:
I 0.200 0.603 0.724
I 0.529 0.811 0.214
Br 0.441 0.239 0.696
Br 0.839 0.082 0.274
F 0.286 0.606 0.084
F 0.577 0.841 0.951
F 0.046 0.522 0.495
F 0.977 0.861 0.700
F 0.945 0.470 0.827
F 0.416 0.730 0.543

SG   No. 1
Excess energy over the best structure of this formula in the dataset   0.0 meV per atom



# 8
IBr3F: relaxed, PBE.

a b c (Å): 5.105 5.105 5.105
angles (deg): 90.00 90.00 90.00
Fractional coordinates of all 5 atoms:
I 0.500 0.500 0.500
Br 0.000 0.500 0.000
Br 0.000 0.000 0.500
Br 0.500 0.000 0.000
F 0.000 0.000 0.000

SG   No. 221
Excess energy over the best structure of this formula in the dataset   746.6 meV per atom



| no. | V (Å³ per atom) | E_form (uncorrected) (eV per formula unit) |
| --- | --- | --- |
| 1 | 19.049 | -0.8 |
| 2 | 41.955 | -1.7 |
| 3 | 19.081 | -2.6 |
| 4 | 34.059 | -1.3 |
| 5 | 25.552 | 1.2 |
| 6 | 34.101 | 0.2 |
| 7 | 24.980 | -5.4 |
| 8 | 26.616 | 2.4 |